Entry 1:
LaTb2Dy2Y2 | GGA-PBE | relaxed Values from VASP.

Quantum ESPRESSO input file:
```
&SYSTEM
  ibrav = 0, nat = 7, ntyp = 4
/
ATOMIC_SPECIES
La 138.91 La.upf
Y 88.91 Y.upf
Dy 162.50 Dy.upf
Tb 158.93 Tb.upf
CELL_PARAMETERS angstrom
-2.312 0.950 2.494
5.417 -0.714 2.794
5.137 10.644 0.709
ATOMIC_POSITIONS crystal
La 0.000 0.000 0.500
Y 0.448 0.895 0.776
Y 0.552 0.105 0.224
Dy 0.223 0.447 0.643
Dy 0.777 0.553 0.357
Tb 0.329 0.657 0.082
Tb 0.671 0.343 0.918
```

Output
Energy of formation = 0.10 eV/atom
SG = C2/m (12)

***

Entry 2:
Cd2BrOF | GGA-PBE | relaxed Values from VASP.

Quantum ESPRESSO input file:
```
&SYSTEM
  ibrav = 0, nat = 10, ntyp = 4
/
ATOMIC_SPECIES
Cd 112.41 Cd.upf
O 16.00 O.upf
Br 79.90 Br.upf
F 19.00 F.upf
CELL_PARAMETERS angstrom
-3.259 -0.540 2.201
0.160 -6.385 2.250
2.314 1.764 7.439
ATOMIC_POSITIONS crystal
Cd 0.579 0.158 0.685
Cd 0.167 0.699 0.967
Cd 0.833 0.301 0.033
Cd 0.421 0.842 0.315
O 0.370 0.355 0.906
O 0.630 0.645 0.094
Br 0.840 0.751 0.570
Br 0.160 0.249 0.430
F 0.084 0.012 0.820
F 0.916 0.988 0.180
```

Output
Energy relative to the elements, uncorrected = -1283.5 meV per atom
SG = C2/m (12)

***

Entry 3:
La6PmHoTm2 | GGA-PBE | relaxed Values from VASP.

Quantum ESPRESSO input file:
```
&SYSTEM
  ibrav = 0, nat = 10, ntyp = 4
/
ATOMIC_SPECIES
La 138.91 La.upf
Tm 168.93 Tm.upf
Ho 164.93 Ho.upf
Pm 145.00 Pm.upf
CELL_PARAMETERS angstrom
-5.122 5.643 4.664
-3.644 -5.545 2.707
6.120 1.680 2.194
ATOMIC_POSITIONS crystal
La 0.807 0.960 0.362
La 0.561 0.359 0.719
La 0.807 0.402 0.362
La 0.193 0.598 0.638
La 0.193 0.040 0.638
La 0.439 0.641 0.281
Tm 0.839 0.911 0.822
Tm 0.161 0.089 0.178
Ho 0.000 0.500 0.000
Pm 0.500 0.000 0.000
```

Output
Energy of formation = 0.19 eV/atom
SG = C2/m (12)

***

Entry 4:
Na2Au2Cl7 | GGA-PBE | relaxed Values from VASP.

Quantum ESPRESSO input file:
```
&SYSTEM
  ibrav = 0, nat = 22, ntyp = 3
/
ATOMIC_SPECIES
Na 22.99 Na.upf
Cl 35.45 Cl.upf
Au 196.97 Au.upf
CELL_PARAMETERS angstrom
6.354 0.889 0.000
-0.135 6.723 0.000
0.000 0.000 15.137
ATOMIC_POSITIONS crystal
Na 0.725 0.246 0.416
Na 0.725 0.746 0.084
Na 0.275 0.254 0.916
Na 0.275 0.754 0.584
Cl 0.529 0.485 0.824
Cl 0.000 0.500 0.000
Cl 0.393 0.081 0.078
Cl 0.393 0.581 0.422
Cl 0.471 0.515 0.176
Cl 0.607 0.919 0.922
Cl 0.988 0.042 0.223
Cl 0.012 0.458 0.723
Cl 0.529 0.985 0.676
Cl 0.012 0.958 0.777
Cl 0.988 0.542 0.277
Cl 0.471 0.015 0.324
Cl 0.607 0.419 0.578
Cl 0.000 0.000 0.500
Au 0.205 0.301 0.181
Au 0.205 0.801 0.319
Au 0.795 0.199 0.681
Au 0.795 0.699 0.819
```

Output
Excess energy over the best structure of this formula in the dataset = 44 kJ/mol of formula units
Energy relative to the elements, uncorrected = -719.4 meV per atom
SG = P2_1/c (14)

***

Entry 5:
In12AgBi6 | GGA-PBE | relaxed Values from VASP.

Quantum ESPRESSO input file:
```
&SYSTEM
  ibrav = 0, nat = 19, ntyp = 3
/
ATOMIC_SPECIES
In 114.82 In.upf
Ag 107.87 Ag.upf
Bi 208.98 Bi.upf
CELL_PARAMETERS angstrom
8.242 -0.377 0.274
0.252 8.247 0.274
-0.407 -0.377 8.236
ATOMIC_POSITIONS crystal
In 0.203 0.481 0.536
In 0.536 0.203 0.481
In 0.150 0.386 0.067
In 0.933 0.850 0.614
In 0.386 0.067 0.150
In 0.519 0.464 0.797
In 0.614 0.933 0.850
In 0.464 0.797 0.519
In 0.481 0.536 0.203
In 0.797 0.519 0.464
In 0.850 0.614 0.933
In 0.067 0.150 0.386
Ag 0.000 0.000 0.000
Bi 0.223 0.729 0.865
Bi 0.777 0.271 0.135
Bi 0.865 0.223 0.729
Bi 0.135 0.777 0.271
Bi 0.729 0.865 0.223
Bi 0.271 0.135 0.777
```

Output
Energy of formation = 0.07 eV/atom
SG = R-3 (148)

***

Entry 6:
TcSn3Os | GGA-PBE | relaxed Values from VASP.

Quantum ESPRESSO input file:
```
&SYSTEM
  ibrav = 0, nat = 5, ntyp = 3
/
ATOMIC_SPECIES
Tc 98.00 Tc.upf
Sn 118.71 Sn.upf
Os 190.23 Os.upf
CELL_PARAMETERS angstrom
-0.452 4.946 1.154
-3.513 -1.141 3.515
3.668 -0.484 3.509
ATOMIC_POSITIONS crystal
Tc 0.000 0.000 0.000
Sn 0.000 0.500 0.000
Sn 0.500 0.000 0.000
Sn 0.000 0.000 0.500
Os 0.500 0.500 0.500
```

Output
Excess energy over the best structure of this formula in the dataset = 65 kJ/mol of formula units
Energy of formation = 1.20 eV/atom
SG = Pm-3m (221)

***

Entry 7:
V2SiSbBr | GGA-PBE | relaxed Values from VASP.

Quantum ESPRESSO input file:
```
&SYSTEM
  ibrav = 0, nat = 5, ntyp = 4
/
ATOMIC_SPECIES
V 50.94 V.upf
Si 28.09 Si.upf
Sb 121.76 Sb.upf
Br 79.90 Br.upf
CELL_PARAMETERS angstrom
-2.363 3.862 -1.906
-4.443 -2.576 0.288
-0.739 1.779 4.519
ATOMIC_POSITIONS crystal
V 0.000 0.000 0.500
V 0.500 0.000 0.000
Si 0.000 0.000 0.000
Sb 0.000 0.500 0.000
Br 0.500 0.500 0.500
```

Output
Energy relative to the elements, uncorrected = 827.1 meV per atom
SG = P4/mmm (123)

***

Entry 8:
MnGaH | GGA-PBE | relaxed Values from VASP.

Quantum ESPRESSO input file:
```
&SYSTEM
  ibrav = 0, nat = 3, ntyp = 3
/
ATOMIC_SPECIES
Ga 69.72 Ga.upf
Mn 54.94 Mn.upf
H 1.01 H.upf
CELL_PARAMETERS angstrom
2.631 0.000 0.000
0.000 2.631 0.000
-1.316 -1.316 4.519
ATOMIC_POSITIONS crystal
Ga 0.007 0.007 0.013
Mn 0.725 0.725 0.451
H 0.268 0.268 0.536
```

Output
Excess energy over the best structure of this formula in the dataset = 32 kJ/mol of formula units
SG = I4mm (107)

***

Record order is preserved below.
E: -0.3742, -0.2462, -0.3374, -0.2007, -0.2233, -0.4056, -0.3722, -0.3771 Ry/atom
Record order is preserved below.
Calculated volume: 232.9, 198.7, 353.9, 648.5, 562.4, 132.6, 124.1, 31.3 Å³ per cell